[1]
Computed, not measured: crystalline La4Zn3Ru at its relaxed geometry at the PBE level of DFT.

Unit cell a=15.8326 b=5.2224 c=5.2224 alpha=90.00 beta=109.18 gamma=90.00
Closest atoms and distances in Å follow each position.
Space group C2/m (No. 12)
Symmetry-distinct sites (fractional):
La: 0.1190 0.0000 0.1191  6 Zn 3.16-3.29, 2 Ru 3.16
La: 0.1190 0.5000 0.6204  2 Ru 3.15-3.17, 6 Zn 3.16-3.29
Zn: 0.0000 0.0000 0.5000  8 La 3.16
Zn: 0.2469 0.0000 0.7462  8 La 3.24-3.29
Ru: 0.0000 0.5000 0.0000  8 La 3.15-3.17

Properties
V = 25.491 Å³ per atom
formation enthalpy at 0 K = -0.285 eV/atom

---

[2]
Computed, not measured: crystalline TlInTe2 at its relaxed geometry at the PBE level of DFT.

Unit cell a=3.3310 b=4.1819 c=9.0481 alpha=90.00 beta=90.33 gamma=90.00
Closest atoms and distances in Å follow each position.
Space group P2/m (No. 10)
Symmetry-distinct sites (fractional):
Tl: 0.0000 0.0000 0.0000  2 Tl 3.33, 8 Te 3.59
In: 0.0000 0.0000 0.5000  2 In 3.33, 8 Te 3.40-3.43
Te: 0.4963 0.5000 0.7349  2 Te 3.33, 4 In 3.40-3.43, 4 Tl 3.59

Properties
V = 31.509 Å³ per atom
ΔE_f (raw) = -0.46 eV per formula unit

---

Across the entries above, E_tot takes the values -0.3223; -0.2177 Ry per atom, respectively.